Material: RbLiY2
Method: DFT, GGA-PBEsol
State: relaxed

**M_tot**: 0.0 μB per formula unit
**Theoretical density**: 3.5 g/cm3
**Calculated formation energy**: 679 meV per atom

```
RbLiY2
1.0
0.000 4.007 4.007
4.007 0.000 4.007
4.007 4.007 0.000
Rb Li Y
1 1 2
Direct
0.000 0.000 0.000 Rb
0.500 0.500 0.500 Li
0.250 0.250 0.250 Y
0.750 0.750 0.750 Y
```